! Ho3HfAg3S8 | Alexandria | PBE | optimized geometry; values from VASP
! * ΔE_f (raw): -1.3324 eV/atom
&SYSTEM
  ibrav = 0, nat = 15, ntyp = 4
/
ATOMIC_SPECIES
Ho 164.93 Ho.upf
Hf 178.49 Hf.upf
Ag 107.87 Ag.upf
S 32.06 S.upf
ATOMIC_POSITIONS crystal
Ho 0.0000 0.0000 0.0000
Ho 0.0000 0.5000 0.5000
Ho 0.5000 0.0000 0.5000
Hf 0.5000 0.5000 0.0000
Ag 0.0000 0.5000 0.0000
Ag 0.5000 0.0000 0.0000
Ag 0.5000 0.5000 0.5000
S 0.2466 0.2466 0.2552
S 0.2606 0.7341 0.7677
S 0.2660 0.2660 0.7587
S 0.2659 0.7394 0.2323
S 0.7341 0.2606 0.7677
S 0.7340 0.7340 0.2413
S 0.7394 0.2659 0.2323
S 0.7534 0.7534 0.7448
CELL_PARAMETERS angstrom
6.6946 -3.9327 0.0000
6.6946 3.9327 0.0000
-4.4225 0.0000 6.4203

=====

! Pa2Cu3Au | Alexandria | PBE | optimized geometry; values from VASP
! * E_form: -0.161 eV per atom
&SYSTEM
  ibrav = 0, nat = 12, ntyp = 3
/
ATOMIC_SPECIES
Pa 231.04 Pa.upf
Cu 63.55 Cu.upf
Au 196.97 Au.upf
ATOMIC_POSITIONS crystal
Pa 0.2469 0.7531 0.7531
Pa 0.2500 0.2500 0.2500
Pa 0.7500 0.7500 0.7500
Pa 0.7531 0.2469 0.2469
Cu 0.1624 0.1624 0.8376
Cu 0.1630 0.6751 0.3249
Cu 0.3249 0.8370 0.1630
Cu 0.6751 0.1630 0.8370
Cu 0.8370 0.3249 0.6751
Cu 0.8376 0.8376 0.1624
Au 0.3335 0.3335 0.6665
Au 0.6665 0.6665 0.3335
CELL_PARAMETERS angstrom
0.0000 4.5244 7.8305
3.1380 0.0000 7.8305
3.1380 4.5244 0.0000

=====

! CeB2Rh2C | Alexandria | PBE | optimized geometry; values from VASP
! * E_form: -0.619 eV per atom
&SYSTEM
  ibrav = 0, nat = 6, ntyp = 4
/
ATOMIC_SPECIES
Ce 140.12 Ce.upf
B 10.81 B.upf
Rh 102.91 Rh.upf
C 12.01 C.upf
ATOMIC_POSITIONS crystal
Ce 0.0000 0.0000 0.0000
B 0.3526 0.3526 0.0000
B 0.6474 0.6474 0.0000
Rh 0.2500 0.7500 0.5000
Rh 0.7500 0.2500 0.5000
C 0.5000 0.5000 0.0000
CELL_PARAMETERS angstrom
-1.9307 1.9307 5.1036
1.9307 -1.9307 5.1036
1.9307 1.9307 -5.1036

=====

! CaZn2Co2 | Alexandria | PBE | optimized geometry; values from VASP
! * E_form: 0.056 eV per atom
&SYSTEM
  ibrav = 0, nat = 5, ntyp = 3
/
ATOMIC_SPECIES
Ca 40.08 Ca.upf
Zn 65.41 Zn.upf
Co 58.93 Co.upf
ATOMIC_POSITIONS crystal
Ca 0.0000 0.0000 0.0000
Zn 0.2500 0.7500 0.5000
Zn 0.7500 0.2500 0.5000
Co 0.3880 0.3880 0.0000
Co 0.6120 0.6120 0.0000
CELL_PARAMETERS angstrom
-2.0768 2.0768 4.8507
2.0768 -2.0768 4.8507
2.0768 2.0768 -4.8507

=====

! CaNdZnSb | Alexandria | PBE | optimized geometry; values from VASP
! * ΔE_f (raw): -0.5447 eV/atom
&SYSTEM
  ibrav = 0, nat = 4, ntyp = 4
/
ATOMIC_SPECIES
Ca 40.08 Ca.upf
Nd 144.24 Nd.upf
Zn 65.41 Zn.upf
Sb 121.76 Sb.upf
ATOMIC_POSITIONS crystal
Ca 0.0000 0.0000 0.0000
Nd 0.5000 0.5000 0.5000
Zn 0.2500 0.2500 0.2500
Sb 0.7500 0.7500 0.7500
CELL_PARAMETERS angstrom
0.0000 3.7744 3.7744
3.7744 0.0000 3.7744
3.7744 3.7744 0.0000

=====

! Al2InAgTe4 | Alexandria | PBE | optimized geometry; values from VASP
! * ΔE_f (raw): -0.2242 eV/atom
&SYSTEM
  ibrav = 0, nat = 8, ntyp = 4
/
ATOMIC_SPECIES
Al 26.98 Al.upf
In 114.82 In.upf
Ag 107.87 Ag.upf
Te 127.60 Te.upf
ATOMIC_POSITIONS crystal
Al 0.0000 0.0000 0.5000
Al 0.5000 0.5000 0.0000
In 0.2497 0.2497 0.7503
Ag 0.7503 0.7503 0.2497
Te 0.1249 0.6643 0.8751
Te 0.3757 0.8351 0.1649
Te 0.6643 0.1249 0.3357
Te 0.8351 0.3757 0.6243
CELL_PARAMETERS angstrom
0.0000 4.3395 7.4281
4.3388 0.0000 7.4281
4.3388 4.3395 0.0000

=====

! KNbZn3 | Alexandria | PBE | optimized geometry; values from VASP
! * E_form: 0.614 eV per atom
&SYSTEM
  ibrav = 0, nat = 5, ntyp = 3
/
ATOMIC_SPECIES
K 39.10 K.upf
Nb 92.91 Nb.upf
Zn 65.41 Zn.upf
ATOMIC_POSITIONS crystal
K 0.0000 0.0000 0.0000
Nb 0.5000 0.5000 0.5000
Zn 0.0000 0.5000 0.5000
Zn 0.5000 0.0000 0.5000
Zn 0.5000 0.5000 0.0000
CELL_PARAMETERS angstrom
5.2498 0.0000 0.0000
0.0000 5.2498 0.0000
0.0000 0.0000 5.2498

=====

! InGeTeI2 | Alexandria | PBE | optimized geometry; values from VASP
! * ΔE_f (raw): -0.0444 eV/atom
&SYSTEM
  ibrav = 0, nat = 5, ntyp = 4
/
ATOMIC_SPECIES
In 114.82 In.upf
Ge 72.64 Ge.upf
Te 127.60 Te.upf
I 126.90 I.upf
ATOMIC_POSITIONS crystal
In 0.0000 0.0000 0.0000
Ge 0.5000 0.5000 0.5000
Te 0.5000 0.5000 0.0000
I 0.0000 0.5000 0.5000
I 0.5000 0.0000 0.5000
CELL_PARAMETERS angstrom
5.8606 0.0000 0.0000
0.0000 5.8606 0.0000
0.0000 0.0000 5.5580